(1)
# SrMg2Ta

An optimized crystal structure of SrMg2Ta (PBE, Alexandria).

a b c (Å): 3.196 3.196 9.630
angles (deg): 90.00 90.00 90.00
Element x y z (fractional)
Sr (0.000, 0.000, 0.511)
Mg (0.000, 0.000, 0.987)
Mg (0.500, 0.500, 0.216)
Ta (0.500, 0.500, 0.786)

Results
* space group: P4mm, No. 99


(2)
# SrMg2Ta

An optimized crystal structure of SrMg2Ta (PBE, Alexandria).

a b c (Å): 11.211 11.211 11.211
angles (deg): 16.47 16.47 16.47
Element x y z (fractional)
Mg (0.490, 0.490, 0.490)
Sr (0.250, 0.250, 0.250)
Mg (0.010, 0.010, 0.010)
Ta (0.750, 0.750, 0.750)

Results
* space group: R-3m, No. 166


(3)
# SrMg2Ta

An optimized crystal structure of SrMg2Ta (PBE, Alexandria).

a b c (Å): 4.257 3.167 8.104
angles (deg): 67.06 90.00 90.00
Element x y z (fractional)
Mg (0.000, 0.446, 0.554)
Mg (0.000, 0.054, 0.946)
Ta (0.500, 0.750, 0.750)
Sr (0.500, 0.250, 0.250)

Results
* space group: Pmmm, No. 47


(4)
# SrMg2Ta

An optimized crystal structure of SrMg2Ta (PBE, Alexandria).

a b c (Å): 5.801 5.801 5.801
angles (deg): 133.12 133.12 68.47
Site moments in Bohr magnetons follow the coordinates.
Element x y z (fractional)
Mg (0.000, 0.000, 0.000)  0.00
Sr (0.500, 0.500, 0.000)  0.06
Mg (0.250, 0.750, 0.500)  -0.01
Ta (0.750, 0.250, 0.500)  1.01

Results
* space group: I-4m2, No. 119


Table of energy above the lowest structure with this stoichiometry (eV/atom), in record order: 0.067; 0.144; 0.072; 0.351
Table of uncorrected energy (eV per atom), in record order: -3.72; -3.65; -3.72; -3.44
Table of ΔE_f (eV/atom), in record order: 0.46; 0.54; 0.46; 0.74